Record 1
NaMgPb, optimized geometry, DFT PBE; final energy = -2.34 eV per atom; magnetization = 0.00 μB/f.u.; symmetry = No. 129; E_form = -39 kJ/mol of formula units
1.0
4.494 0.000 0.000
0.000 4.494 0.000
0.000 0.000 8.505
Na Mg Pb
2 2 2
Direct
0.250 0.250 0.138 Na
0.750 0.750 0.862 Na
0.250 0.750 0.500 Mg
0.750 0.250 0.500 Mg
0.250 0.250 0.747 Pb
0.750 0.750 0.253 Pb

Record 2
NaMg2Pb9, optimized geometry, DFT PBE; final energy = -3.19 eV per atom; magnetization = 0.00 μB/f.u.; symmetry = No. 123; E_form = -44 kJ/mol of formula units
1.0
5.012 0.000 0.000
0.000 5.012 0.000
0.000 0.000 14.081
Na Mg Pb
1 2 9
Direct
0.000 0.000 0.000 Na
0.000 0.000 0.331 Mg
0.000 0.000 0.669 Mg
0.000 0.500 0.172 Pb
0.000 0.500 0.500 Pb
0.000 0.500 0.828 Pb
0.500 0.000 0.172 Pb
0.500 0.000 0.500 Pb
0.500 0.000 0.828 Pb
0.500 0.500 0.000 Pb
0.500 0.500 0.338 Pb
0.500 0.500 0.662 Pb

Record 3
Na5Mg2Pb5, optimized geometry, DFT PBE; final energy = -2.48 eV per atom; magnetization = 0.00 μB/f.u.; symmetry = No. 12; E_form = -135 kJ/mol of formula units
1.0
4.638 -2.684 0.000
4.638 2.684 0.000
-3.196 0.000 13.741
Na Mg Pb
5 2 5
Direct
0.000 0.000 0.000 Na
0.192 0.192 0.576 Na
0.275 0.275 0.824 Na
0.725 0.725 0.176 Na
0.808 0.808 0.424 Na
0.427 0.427 0.282 Mg
0.573 0.573 0.718 Mg
0.104 0.104 0.311 Pb
0.354 0.354 0.059 Pb
0.500 0.500 0.500 Pb
0.646 0.646 0.941 Pb
0.896 0.896 0.689 Pb

Record 4
Na2Mg3Pb2, optimized geometry, DFT PBE; final energy = -2.18 eV per atom; magnetization = 0.00 μB/f.u.; symmetry = No. 12; E_form = -43 kJ/mol of formula units
1.0
5.484 -2.387 0.000
5.484 2.387 0.000
-2.903 0.000 7.490
Na Mg Pb
2 3 2
Direct
0.135 0.135 0.272 Na
0.865 0.865 0.728 Na
0.377 0.377 0.068 Mg
0.500 0.500 0.500 Mg
0.623 0.623 0.932 Mg
0.157 0.157 0.708 Pb
0.843 0.843 0.292 Pb